1.
Computed, not measured: a relaxed structure of ErAl4Pd2Pt at the PBE level of DFT.

Results
Energy ... -42.25 eV per formula unit

The structure in POSCAR format:
```
ErAl4Pd2Pt
1.0
4.284 0.000 0.000
2.142 3.710 0.000
2.142 1.237 8.702
Al Er Pt Pd
4 1 1 2
Direct
0.133 0.133 0.602
0.867 0.867 0.398
0.401 0.401 0.796
0.599 0.599 0.204
0.000 0.000 0.000
0.500 0.500 0.500
0.245 0.245 0.265
0.755 0.755 0.735
```


2.
Computed, not measured: a relaxed structure of Er2Al4PdPt3 at the PBE level of DFT.

Results
Energy ... -58.15 eV per formula unit

The structure in POSCAR format:
```
Er2Al4PdPt3
1.0
4.099 0.000 0.000
0.000 4.099 0.000
0.000 0.000 10.901
Al Er Pd Pt
4 2 1 3
Direct
0.500 0.000 0.632
0.000 0.500 0.368
0.000 0.000 0.000
0.500 0.500 0.000
0.500 0.000 0.244
0.000 0.500 0.756
0.500 0.500 0.500
0.000 0.000 0.500
0.000 0.500 0.140
0.500 0.000 0.860
```


3.
Computed, not measured: a relaxed structure of ErAlPdPt at the PBE level of DFT.

Results
Energy ... -23.51 eV per formula unit

The structure in POSCAR format:
```
ErAlPdPt
1.0
-3.001 -0.945 -3.427
1.355 -2.566 -3.636
-1.634 -4.323 -0.534
Er Al Pd Pt
1 1 1 1
Direct
0.000 0.000 0.000
0.500 0.500 0.500
0.250 0.250 0.250
0.750 0.750 0.750
```


4.
Computed, not measured: a relaxed structure of ErAl3PdPt at the PBE level of DFT.

Results
Energy ... -31.30 eV per formula unit

The structure in POSCAR format:
```
ErAl3PdPt
1.0
5.671 0.000 0.000
0.000 6.329 0.000
0.000 -3.165 6.174
Pd Er Al Pt
2 2 6 2
Direct
0.250 0.930 0.859
0.750 0.070 0.141
0.750 0.287 0.574
0.250 0.713 0.426
0.500 0.703 0.000
0.000 0.703 0.000
0.750 0.854 0.707
0.250 0.146 0.293
0.000 0.297 0.000
0.500 0.297 0.000
0.250 0.353 0.706
0.750 0.647 0.294
```


5.
Computed, not measured: a relaxed structure of ErAlPdRu at the PBE level of DFT.

Results
Energy ... -25.50 eV per formula unit

The structure in POSCAR format:
```
ErAlPdRu
1.0
4.574 0.000 0.000
2.287 3.961 0.000
2.287 1.320 3.735
Al Pd Ru Er
1 1 1 1
Direct
0.000 0.000 0.000
0.250 0.250 0.250
0.750 0.750 0.750
0.500 0.500 0.500
```


6.
Computed, not measured: a relaxed structure of Er2ScAl2Pd5 at the PBE level of DFT.

Results
Energy ... -57.57 eV per formula unit

The structure in POSCAR format:
```
Er2ScAl2Pd5
1.0
-0.616 2.578 2.521
-9.013 -3.951 1.836
4.017 -5.901 7.018
Al Pd Er Sc
4 10 4 2
Direct
0.000 0.878 0.378
0.000 0.122 0.622
0.000 0.378 0.122
0.000 0.622 0.878
0.500 0.500 0.000
0.500 0.935 0.209
0.500 0.565 0.709
0.500 0.209 0.065
0.500 0.435 0.291
0.500 0.709 0.435
0.500 0.791 0.935
0.500 0.065 0.791
0.500 0.291 0.565
0.500 0.000 0.500
0.000 0.176 0.324
0.000 0.676 0.176
0.000 0.824 0.676
0.000 0.324 0.824
0.000 0.000 0.000
0.000 0.500 0.500
```


7.
Computed, not measured: a relaxed structure of Er2AlSiPd6 at the PBE level of DFT.

Results
Formation energy without anion corrections ... -0.7628 eV per atom

The structure in POSCAR format:
```
Er2AlSiPd6
1.0
-2.389 -7.366 1.067
2.457 -2.416 -6.033
2.481 -6.975 -0.792
Pd Si Er Al
6 1 2 1
Direct
0.544 0.408 0.346
0.022 0.008 0.292
0.379 0.871 0.856
0.621 0.129 0.144
0.978 0.992 0.708
0.456 0.592 0.654
0.000 0.000 0.000
0.809 0.341 0.500
0.191 0.659 0.500
0.500 0.500 0.000
```


8.
Computed, not measured: a relaxed structure of Er2AlSi4Pd3 at the PBE level of DFT.

Results
Formation energy without anion corrections ... -0.8052 eV per atom

The structure in POSCAR format:
```
Er2AlSi4Pd3
1.0
3.947 0.000 0.000
0.000 3.947 0.000
0.000 0.000 11.001
Si Al Pd Er
4 1 3 2
Direct
0.000 0.500 0.355
0.000 0.000 0.000
0.500 0.000 0.645
0.500 0.500 0.000
0.500 0.500 0.500
0.500 0.000 0.864
0.000 0.000 0.500
0.000 0.500 0.136
0.000 0.500 0.746
0.500 0.000 0.254
```


In Å³ per atom, the V values for the records above are, in order, 17.3 18.3 17.8 18.5 16.9 18.3 18.0 17.1.